# 1
VASP calculation (GGA-PBE) on a geometry-optimized Ba4CaHg structure.

Output
- Calculated total energy: -1.388 eV/atom
- Formation energy from the elements: 0.277 eV/atom
- Energy relative to the lowest polymorph listed for this composition: 0.437 eV/atom
- Fermi-level density of states: 13.07 states/eV/f.u.
- Size of the total moment: 0.00 μB/atom
- Density: 4.01 g cm⁻³

a = 10.9421 Å, b = 10.9421 Å, c = 10.9421 Å
α = 90.00°, β = 90.00°, γ = 90.00°
Space group F-43m (No. 216)
Asymmetric unit:
Ba (0.1254, 0.1254, 0.1254)
Ca (0.2500, 0.2500, 0.7500)
Hg (0.0000, 0.0000, 0.5000)

=====

# 2
VASP calculation (GGA-PBE) on a geometry-optimized CaPdSe structure.

Output
- Calculated total energy: -4.647 eV/atom
- Energy relative to the lowest polymorph listed for this composition: 0.075 eV/atom
- Fermi-level density of states: 0.22 states/eV/f.u.
- Size of the total moment: 0.00 μB/atom
- Density: 5.21 g cm⁻³

a = 10.1662 Å, b = 4.0529 Å, c = 8.4590 Å
α = 90.00°, β = 124.42°, γ = 90.00°
Space group C2/m (No. 12)
Asymmetric unit:
Ca (0.0358, 0.0000, 0.2782)
Pd (0.2483, 0.5000, 0.8882)
Se (0.2484, 0.0000, 0.7040)

=====

# 3
VASP calculation (GGA-PBE) on a geometry-optimized Rb2CuI3 structure.

Output
- Calculated total energy: -2.809 eV/atom
- Fermi-level density of states: 0.00 states/eV/f.u.
- Size of the total moment: 0.00 μB/atom
- Density: 3.84 g cm⁻³

a = 13.1580 Å, b = 8.9390 Å, c = 9.8970 Å
α = 90.00°, β = 113.86°, γ = 90.00°
Space group C2/c (No. 15)
Asymmetric unit:
Rb (0.1568, 0.1993, 0.1570)
Cu (0.0000, 0.3969, 0.7500)
I (0.0000, 0.1117, 0.7500)
I (0.1529, 0.4536, 0.4482)

=====

# 4
VASP calculation (GGA-PBE) on a geometry-optimized P2AuSO structure.

Output
- Calculated total energy: -3.867 eV/atom
- Energy relative to the lowest polymorph listed for this composition: 0.303 eV/atom
- Fermi-level density of states: 3.30 states/eV/f.u.
- Size of the total moment: 0.00 μB/atom
- Density: 6.65 g cm⁻³

a = 4.1060 Å, b = 4.1060 Å, c = 4.5458 Å
α = 90.00°, β = 90.00°, γ = 90.00°
Space group P4/mmm (No. 123)
Asymmetric unit:
P (0.0000, 0.5000, 0.0000)
Au (0.0000, 0.0000, 0.5000)
S (0.5000, 0.5000, 0.5000)
O (0.5000, 0.5000, 0.0000)

=====

# 5
VASP calculation (GGA-PBE) on a geometry-optimized Rb4Pm3ScSe8 structure.

Output
- Calculated total energy: -4.965 eV/atom
- Fermi-level density of states: 0.00 states/eV/f.u.
- Size of the total moment: 0.00 μB/atom
- Density: 4.76 g cm⁻³

a = 14.8183 Å, b = 8.5549 Å, c = 9.4049 Å
α = 90.00°, β = 121.68°, γ = 90.00°
Space group C2/m (No. 12)
Asymmetric unit:
Rb (0.0000, 0.0000, 0.0000)
Rb (0.0000, 0.5000, 0.0000)
Rb (0.2500, 0.2500, 0.0000)
Pm (0.0000, 0.0000, 0.5000)
Pm (0.2500, 0.2500, 0.5000)
Sc (0.0000, 0.5000, 0.5000)
Se (0.0144, 0.2612, 0.3054)
Se (0.2227, 0.5000, 0.6934)
Se (0.2344, 0.0000, 0.7021)

=====

# 6
VASP calculation (GGA-PBE) on a geometry-optimized CsY3S structure.

Output
- Calculated total energy: -5.050 eV/atom
- Energy relative to the lowest polymorph listed for this composition: 0.000 eV/atom
- Fermi-level density of states: 6.96 states/eV/f.u.
- Size of the total moment: 0.36 μB/atom
- Density: 4.30 g cm⁻³

a = 5.5035 Å, b = 5.5035 Å, c = 5.5035 Å
α = 90.00°, β = 90.00°, γ = 90.00°
Space group Pm-3m (No. 221)
Asymmetric unit:
Cs (0.0000, 0.0000, 0.0000)
Y (0.0000, 0.5000, 0.5000)
S (0.5000, 0.5000, 0.5000)

=====

# 7
VASP calculation (GGA-PBE) on a geometry-optimized GaGe3Au structure.

Output
- Calculated total energy: -3.391 eV/atom
- Formation energy from the elements: 0.641 eV/atom
- Energy relative to the lowest polymorph listed for this composition: 0.000 eV/atom
- Fermi-level density of states: 1.80 states/eV/f.u.
- Size of the total moment: 0.00 μB/atom
- Density: 6.18 g cm⁻³

a = 5.0694 Å, b = 5.0694 Å, c = 5.0694 Å
α = 90.00°, β = 90.00°, γ = 90.00°
Space group Pm-3m (No. 221)
Asymmetric unit:
Ga (0.0000, 0.0000, 0.0000)
Ge (0.0000, 0.5000, 0.5000)
Au (0.5000, 0.5000, 0.5000)

=====

# 8
VASP calculation (GGA-PBE) on a geometry-optimized MgPdAuC2 structure.

Output
- Calculated total energy: -4.135 eV/atom
- Formation energy from the elements: 1.567 eV/atom
- Fermi-level density of states: 3.97 states/eV/f.u.
- Size of the total moment: 0.00 μB/atom
- Density: 6.91 g cm⁻³

a = 3.9774 Å, b = 3.9774 Å, c = 5.3426 Å
α = 90.00°, β = 90.00°, γ = 90.00°
Space group P4/mmm (No. 123)
Asymmetric unit:
Mg (0.0000, 0.0000, 0.0000)
Pd (0.5000, 0.5000, 0.5000)
Au (0.5000, 0.5000, 0.0000)
C (0.0000, 0.5000, 0.5000)

=====

# 9
VASP calculation (GGA-PBE) on a geometry-optimized Nd3Er5Tm2 structure.

Output
- Calculated total energy: -4.411 eV/atom
- Formation energy from the elements: 0.195 eV/atom
- Fermi-level density of states: 16.85 states/eV/f.u.
- Size of the total moment: 0.00 μB/atom
- Density: 8.16 g cm⁻³

a = 10.6333 Å, b = 15.9518 Å, c = 9.3494 Å
α = 90.00°, β = 124.44°, γ = 90.00°
Space group C2/c (No. 15)
Asymmetric unit:
Nd (0.0000, 0.2353, 0.2500)
Nd (0.1438, 0.1238, 0.0439)
Er (0.0000, 0.0280, 0.2500)
Er (0.0000, 0.2722, 0.7500)
Er (0.0000, 0.4698, 0.7500)
Er (0.2391, 0.3906, 0.2313)
Tm (0.1516, 0.3845, 0.5479)

=====

# 10
VASP calculation (GGA-PBE) on a geometry-optimized CaTc2Ir2 structure.

Output
- Calculated total energy: -8.181 eV/atom
- Formation energy from the elements: -0.090 eV/atom
- Energy relative to the lowest polymorph listed for this composition: 0.000 eV/atom
- Fermi-level density of states: 4.70 states/eV/f.u.
- Size of the total moment: 0.00 μB/atom
- Density: 12.30 g cm⁻³

a = 7.7857 Å, b = 7.7857 Å, c = 2.7642 Å
α = 90.00°, β = 90.00°, γ = 90.00°
Space group P4/mbm (No. 127)
Asymmetric unit:
Ca (0.0000, 0.0000, 0.0000)
Tc (0.1184, 0.3816, 0.0000)
Ir (0.1718, 0.6718, 0.5000)

=====

# 11
VASP calculation (GGA-PBE) on a geometry-optimized SbOs3Se structure.

Output
- Calculated total energy: -6.568 eV/atom
- Energy relative to the lowest polymorph listed for this composition: 0.000 eV/atom
- Fermi-level density of states: 4.60 states/eV/f.u.
- Size of the total moment: 0.00 μB/atom
- Density: 13.16 g cm⁻³

a = 4.6000 Å, b = 4.6000 Å, c = 4.6000 Å
α = 90.00°, β = 90.00°, γ = 90.00°
Space group Pm-3m (No. 221)
Asymmetric unit:
Sb (0.0000, 0.0000, 0.0000)
Os (0.0000, 0.5000, 0.5000)
Se (0.5000, 0.5000, 0.5000)

=====

# 12
VASP calculation (GGA-PBE) on a geometry-optimized CaLa7Tm3 structure.

Output
- Calculated total energy: -4.308 eV/atom
- Formation energy from the elements: 0.229 eV/atom
- Fermi-level density of states: 15.35 states/eV/f.u.
- Size of the total moment: 0.00 μB/atom
- Density: 6.23 g cm⁻³

a = 11.8221 Å, b = 10.3432 Å, c = 6.6448 Å
α = 90.00°, β = 95.14°, γ = 90.00°
Space group C2/m (No. 12)
Asymmetric unit:
Ca (0.0000, 0.0000, 0.0000)
La (0.0000, 0.0000, 0.5000)
La (0.2326, 0.5000, 0.7039)
La (0.2459, 0.3203, 0.2429)
Tm (0.0000, 0.3365, 0.5000)
Tm (0.0000, 0.5000, 0.0000)

=====

# 13
VASP calculation (GGA-PBE) on a geometry-optimized Ba2Sr2Ir structure.

Output
- Calculated total energy: -2.569 eV/atom
- Formation energy from the elements: 0.645 eV/atom
- Energy relative to the lowest polymorph listed for this composition: 0.381 eV/atom
- Fermi-level density of states: 8.89 states/eV/f.u.
- Size of the total moment: 0.20 μB/atom
- Density: 4.74 g cm⁻³

a = 4.4931 Å, b = 4.4931 Å, c = 22.2881 Å
α = 90.00°, β = 90.00°, γ = 90.00°
Space group I4/mmm (No. 139)
Asymmetric unit:
Ba (0.0000, 0.0000, 0.0763)
Sr (0.0000, 0.5000, 0.2500)
Ir (0.0000, 0.0000, 0.5000)

=====

# 14
VASP calculation (GGA-PBE) on a geometry-optimized Al2Ni structure.

Output
- Calculated total energy: -4.786 eV/atom
- Formation energy from the elements: -0.363 eV/atom
- Fermi-level density of states: 1.03 states/eV/f.u.
- Size of the total moment: 0.00 μB/atom
- Density: 4.56 g cm⁻³

a = 10.1951 Å, b = 2.8805 Å, c = 5.7899 Å
α = 90.00°, β = 105.36°, γ = 90.00°
Space group C2/m (No. 12)
Asymmetric unit:
Al (0.0182, 0.0000, 0.2656)
Al (0.1998, 0.5000, 0.6603)
Ni (0.1404, 0.5000, 0.0397)

=====

# 15
VASP calculation (GGA-PBE) on a geometry-optimized Mg2ScTl structure.

Output
- Calculated total energy: -2.957 eV/atom
- Formation energy from the elements: 0.014 eV/atom
- Energy relative to the lowest polymorph listed for this composition: 0.198 eV/atom
- Fermi-level density of states: 3.28 states/eV/f.u.
- Size of the total moment: 0.00 μB/atom
- Density: 5.00 g cm⁻³

a = 3.2990 Å, b = 3.2990 Å, c = 31.5179 Å
α = 90.00°, β = 90.00°, γ = 120.00°
Space group R-3m (No. 166, hexagonal axes)
Asymmetric unit:
Mg (0.0000, 0.0000, 0.2493)
Sc (0.0000, 0.0000, 0.5000)
Tl (0.0000, 0.0000, 0.0000)

=====

# 16
VASP calculation (GGA-PBE) on a geometry-optimized BaSr2Si structure.

Output
- Calculated total energy: -2.587 eV/atom
- Fermi-level density of states: 4.01 states/eV/f.u.
- Size of the total moment: 0.02 μB/atom
- Density: 3.83 g cm⁻³

a = 5.2375 Å, b = 5.2375 Å, c = 10.7562 Å
α = 90.00°, β = 90.00°, γ = 90.00°
Space group I4/mmm (No. 139)
Asymmetric unit:
Ba (0.0000, 0.0000, 0.0000)
Sr (0.0000, 0.5000, 0.2500)
Si (0.0000, 0.0000, 0.5000)

=====

# 17
VASP calculation (GGA-PBE) on a geometry-optimized FePb2 structure.

Output
- Calculated total energy: -4.833 eV/atom
- Formation energy from the elements: 0.460 eV/atom
- Fermi-level density of states: 1.95 states/eV/f.u.
- Size of the total moment: 0.77 μB/atom
- Density: 10.65 g cm⁻³

a = 3.7452 Å, b = 15.1098 Å, c = 5.1849 Å
α = 90.00°, β = 90.00°, γ = 90.00°
Space group Cmcm (No. 63)
Asymmetric unit:
Fe (0.0000, 0.2122, 0.2500)
Pb (0.0000, 0.1525, 0.7500)
Pb (0.0000, 0.4293, 0.7500)

=====

# 18
VASP calculation (GGA-PBE) on a geometry-optimized RbCrW2 structure.

Output
- Calculated total energy: -6.956 eV/atom
- Formation energy from the elements: 2.168 eV/atom
- Energy relative to the lowest polymorph listed for this composition: 0.000 eV/atom
- Fermi-level density of states: 3.08 states/eV/f.u.
- Size of the total moment: 0.00 μB/atom
- Density: 12.17 g cm⁻³

a = 6.5084 Å, b = 6.5084 Å, c = 6.5084 Å
α = 90.00°, β = 90.00°, γ = 90.00°
Space group Fm-3m (No. 225)
Asymmetric unit:
Rb (0.0000, 0.0000, 0.0000)
Cr (0.0000, 0.0000, 0.5000)
W (0.2500, 0.2500, 0.2500)

=====

# 19
VASP calculation (GGA-PBE) on a geometry-optimized K2ReIr structure.

Output
- Calculated total energy: -4.897 eV/atom
- Formation energy from the elements: 0.979 eV/atom
- Energy relative to the lowest polymorph listed for this composition: 0.417 eV/atom
- Fermi-level density of states: 3.00 states/eV/f.u.
- Size of the total moment: 0.00 μB/atom
- Density: 6.40 g cm⁻³

a = 4.0772 Å, b = 5.8160 Å, c = 9.9913 Å
α = 90.00°, β = 90.00°, γ = 90.00°
Space group Imm2 (No. 44)
Asymmetric unit:
K (0.0000, 0.0000, 0.0000)
K (0.0000, 0.5000, 0.2017)
Re (0.0000, 0.0000, 0.4002)
Ir (0.0000, 0.5000, 0.7861)

=====

# 20
VASP calculation (GGA-PBE) on a geometry-optimized Re3HOs structure.

Output
- Calculated total energy: -10.240 eV/atom
- Energy relative to the lowest polymorph listed for this composition: 0.000 eV/atom
- Fermi-level density of states: 2.82 states/eV/f.u.
- Size of the total moment: 0.00 μB/atom
- Density: 20.33 g cm⁻³

a = 3.9418 Å, b = 3.9418 Å, c = 3.9418 Å
α = 90.00°, β = 90.00°, γ = 90.00°
Space group Pm-3m (No. 221)
Asymmetric unit:
Re (0.0000, 0.0000, 0.5000)
H (0.0000, 0.0000, 0.0000)
Os (0.5000, 0.5000, 0.5000)